The following is a PBE calculation of crystalline Na2AlZn2 at its relaxed geometry, from Alexandria via LeMat-Bulk.

- energy relative to the elements (eV/atom) = 0.0750

a b c (Å): 6.6860 6.6860 5.0655
angles (deg): 90.00 90.00 90.00
Fractional positions:
Na 0.3212 0.1788 0.5000
Al 0.0000 0.0000 0.0000
Zn 0.3642 0.8642 0.0000
Al 0.5000 0.5000 0.0000
Zn 0.1358 0.3642 0.0000
Na 0.1788 0.6788 0.5000
Na 0.8212 0.3212 0.5000
Zn 0.6358 0.1358 0.0000
Na 0.6788 0.8212 0.5000
Zn 0.8642 0.6358 0.0000



The following is a PBE calculation of crystalline BaV2Ru2 at its relaxed geometry, from Alexandria via LeMat-Bulk.

- energy relative to the elements (eV/atom) = 0.1235

a b c (Å): 4.1439 4.1439 6.7072
angles (deg): 72.01 72.01 90.00
Fractional positions:
V 0.7500 0.2500 0.5000
V 0.2500 0.7500 0.5000
Ru 0.6424 0.6424 0.7151
Ba 0.0000 0.0000 0.0000
Ru 0.3576 0.3576 0.2849



The following is a PBE calculation of crystalline YCl at its relaxed geometry, from Alexandria via LeMat-Bulk.

- raw formation energy (meV per atom) = -1117

a b c (Å): 7.9283 8.4646 10.9229
angles (deg): 90.00 90.00 90.00
Fractional positions:
Y 0.7500 0.4484 0.7500
Y 0.2500 0.5516 0.7500
Y 0.7500 0.9484 0.2500
Cl 0.3011 0.0000 0.5000
Cl 0.5511 0.2500 0.2500
Cl 0.6989 0.0000 0.5000
Y 0.0000 0.6984 0.0000
Cl 0.8011 0.5000 0.5000
Y 0.2500 0.4484 0.2500
Y 0.5000 0.3016 0.5000
Y 0.7500 0.5516 0.2500
Cl 0.0511 0.7500 0.2500
Cl 0.9489 0.7500 0.7500
Y 0.2500 0.9484 0.7500
Y 0.5000 0.1984 0.0000
Cl 0.3011 0.5000 0.0000
Cl 0.1989 0.5000 0.5000
Y 0.7500 0.0516 0.7500
Cl 0.4489 0.7500 0.2500
Y 0.0000 0.1984 0.5000
Y 0.2500 0.0516 0.2500
Cl 0.8011 0.0000 0.0000
Cl 0.1989 0.0000 0.0000
Cl 0.4489 0.2500 0.7500
Cl 0.5511 0.7500 0.7500
Cl 0.0511 0.2500 0.7500
Y 0.5000 0.8016 0.0000
Cl 0.6989 0.5000 0.0000
Cl 0.9489 0.2500 0.2500
Y 0.5000 0.6984 0.5000
Y 0.0000 0.8016 0.5000
Y 0.0000 0.3016 0.0000



The following is a PBE calculation of crystalline Sb2Pb at its relaxed geometry, from Alexandria via LeMat-Bulk.

- raw formation energy (meV per atom) = 94

a b c (Å): 6.7992 6.7992 8.6238
angles (deg): 92.37 92.37 28.18
Fractional positions:
Sb 0.8894 0.8894 0.5062
Sb 0.8363 0.8363 0.1671
Sb 0.1637 0.1637 0.8329
Sb 0.1106 0.1106 0.4938
Pb 0.4044 0.4044 0.8493
Pb 0.5956 0.5956 0.1507



The following is a PBE calculation of crystalline Ba3InBi2O9 at its relaxed geometry, from Alexandria via LeMat-Bulk.

- raw formation energy (meV per atom) = -1852

a b c (Å): 6.1345 6.1345 7.5228
angles (deg): 90.00 90.00 120.00
Fractional positions:
O 0.1663 0.3327 0.3328
O 0.0000 0.5000 0.0000
O 0.5000 0.5000 0.0000
O 0.3327 0.1663 0.6672
Bi 0.6667 0.3333 0.8272
Ba 0.0000 0.0000 0.0000
O 0.6673 0.8337 0.3328
O 0.1663 0.8337 0.3328
O 0.8337 0.1663 0.6672
O 0.8337 0.6673 0.6672
Ba 0.6667 0.3333 0.3379
In 0.0000 0.0000 0.5000
Ba 0.3333 0.6667 0.6621
O 0.5000 0.0000 0.0000
Bi 0.3333 0.6667 0.1728



The following is a PBE calculation of crystalline Pm5HoTm4 at its relaxed geometry, from Alexandria via LeMat-Bulk.

- energy relative to the elements (eV/atom) = 0.2996

a b c (Å): 6.2974 7.8803 7.8803
angles (deg): 80.81 66.45 66.45
Fractional positions:
Ho 0.2233 0.0000 0.0000
Tm 0.4961 0.6065 0.2990
Tm 0.4016 0.3935 0.7010
Tm 0.7951 0.7010 0.6065
Pm 0.6826 0.0000 0.0000
Pm 0.7190 0.0862 0.3802
Pm 0.1854 0.9138 0.6198
Pm 0.8052 0.3802 0.9138
Tm 0.1026 0.2990 0.3935
Pm 0.0992 0.6198 0.0862



The following is a PBE calculation of crystalline Ac2TmGa3Pt4 at its relaxed geometry, from Alexandria via LeMat-Bulk.

- energy relative to the elements (eV/atom) = -1.0142

a b c (Å): 4.4135 4.4135 11.2618
angles (deg): 90.00 90.00 90.00
Fractional positions:
Pt 0.5000 0.5000 0.0000
Ga 0.5000 0.0000 0.8821
Pt 0.0000 0.0000 0.0000
Pt 0.0000 0.5000 0.3476
Pt 0.5000 0.0000 0.6524
Tm 0.5000 0.5000 0.5000
Ga 0.0000 0.0000 0.5000
Ac 0.0000 0.5000 0.7674
Ac 0.5000 0.0000 0.2326
Ga 0.0000 0.5000 0.1179



The following is a PBE calculation of crystalline Pm3UTl4S8 at its relaxed geometry, from Alexandria via LeMat-Bulk.

- raw formation energy (meV per atom) = -1340

a b c (Å): 8.2483 8.9055 8.2485
angles (deg): 117.60 120.00 90.00
Fractional positions:
Tl 0.5000 0.0000 0.5000
S 0.2588 0.2994 0.0291
S 0.7412 0.7006 0.9709
S 0.7703 0.2994 0.0291
S 0.2297 0.7006 0.9709
U 0.0000 0.5000 0.0000
S 0.7343 0.7027 0.4685
Tl 0.0000 0.0000 0.0000
Pm 0.5000 0.5000 0.0000
Pm 0.0000 0.5000 0.5000
Pm 0.5000 0.5000 0.5000
S 0.7703 0.2994 0.5405
Tl 0.0000 0.0000 0.5000
S 0.2657 0.2973 0.5315
Tl 0.5000 0.0000 0.0000
S 0.2297 0.7006 0.4595



The following is a PBE calculation of crystalline KCd2Co at its relaxed geometry, from Alexandria via LeMat-Bulk.

- energy relative to the elements (eV/atom) = 0.6044

a b c (Å): 5.1133 5.1133 5.1133
angles (deg): 60.00 60.00 60.00
Fractional positions:
K 0.0000 0.0000 0.0000
Cd 0.7500 0.7500 0.7500
Cd 0.2500 0.2500 0.2500
Co 0.5000 0.5000 0.5000



The following is a PBE calculation of crystalline CoSbMo4 at its relaxed geometry, from Alexandria via LeMat-Bulk.

- raw formation energy (meV per atom) = 600

a b c (Å): 5.2474 5.2474 5.2474
angles (deg): 60.00 60.00 60.00
Fractional positions:
Mo 0.3742 0.3742 0.8773
Co 0.0000 0.0000 0.0000
Mo 0.3742 0.8773 0.3742
Sb 0.7500 0.7500 0.7500
Mo 0.8773 0.3742 0.3742
Mo 0.3742 0.3742 0.3742



The following is a PBE calculation of crystalline Ho2AlPb at its relaxed geometry, from Alexandria via LeMat-Bulk.

- energy relative to the elements (eV/atom) = -0.3876

a b c (Å): 3.4304 3.4304 8.7224
angles (deg): 90.00 90.00 90.00
Fractional positions:
Ho 0.0000 0.0000 0.7714
Al 0.5000 0.5000 0.0000
Ho 0.0000 0.0000 0.2286
Pb 0.5000 0.5000 0.5000



The following is a PBE calculation of crystalline Tl2HgBr5 at its relaxed geometry, from Alexandria via LeMat-Bulk.

- raw formation energy (meV per atom) = -527

a b c (Å): 6.0551 7.9353 14.3609
angles (deg): 90.00 90.00 112.43
Fractional positions:
Tl 0.8476 0.6951 0.0774
Br 0.6802 0.3604 0.6002
Br 0.0562 0.1125 0.1146
Br 0.7109 0.4219 0.2500
Tl 0.1524 0.3049 0.5774
Br 0.0562 0.1125 0.3854
Tl 0.1524 0.3049 0.9226
Br 0.9438 0.8875 0.8854
Br 0.2891 0.5781 0.7500
Br 0.6802 0.3604 0.8998
Br 0.3198 0.6396 0.3998
Hg 0.1896 0.3792 0.2500
Hg 0.8104 0.6208 0.7500
Br 0.9438 0.8875 0.6146
Tl 0.8476 0.6951 0.4226
Br 0.3198 0.6396 0.1002



The following is a PBE calculation of crystalline CrAgSeN2 at its relaxed geometry, from Alexandria via LeMat-Bulk.

- raw formation energy (meV per atom) = 484

a b c (Å): 3.6813 3.6813 5.3829
angles (deg): 90.00 90.00 90.00
Fractional positions:
N 0.0000 0.5000 0.0000
Ag 0.5000 0.5000 0.5000
Cr 0.0000 0.0000 0.0000
Se 0.0000 0.0000 0.5000
N 0.5000 0.0000 0.0000



The following is a PBE calculation of crystalline Sr2BeTlB at its relaxed geometry, from Alexandria via LeMat-Bulk.

- energy relative to the elements (eV/atom) = 0.5687

a b c (Å): 5.6871 4.3759 5.6871
angles (deg): 90.00 90.00 90.00
Fractional positions:
B 0.0000 0.0000 0.0000
Tl 0.0000 0.5000 0.0000
Be 0.5000 0.5000 0.5000
Sr 0.0000 0.0000 0.5000
Sr 0.5000 0.0000 0.0000



The following is a PBE calculation of crystalline PuPa2Pd2 at its relaxed geometry, from Alexandria via LeMat-Bulk.

- energy relative to the elements (eV/atom) = -0.3519

a b c (Å): 3.4771 5.8948 11.4581
angles (deg): 104.21 81.27 72.85
Fractional positions:
Pd 0.9808 0.1253 0.9130
Pu 0.5053 0.2582 0.7313
Pd 0.7179 0.2294 0.3348
Pa 0.7299 0.6634 0.8767
Pa 0.2701 0.3366 0.1233
Pa 0.0928 0.2674 0.5470
Pu 0.4947 0.7418 0.2687
Pd 0.0192 0.8747 0.0870
Pa 0.9072 0.7326 0.4530
Pd 0.2821 0.7706 0.6652



The following is a PBE calculation of crystalline Li4AgAu at its relaxed geometry, from Alexandria via LeMat-Bulk.

- energy relative to the elements (eV/atom) = -0.3016

a b c (Å): 3.3886 3.3885 8.4630
angles (deg): 89.98 89.98 90.00
Fractional positions:
Li 0.0001 0.0002 0.3357
Li 0.5001 0.5001 0.8462
Li 0.9998 0.9998 0.6643
Ag 0.5000 0.5000 0.5000
Au 0.0000 0.0000 0.0000
Li 0.4999 0.4999 0.1538



Total magnetic moment in μB per atom, matching the order above: 0.000, 0.000, 0.000, 0.000, 0.000, 0.000, 0.000, 0.188, 0.352, 0.298, 0.000, 0.000, 0.000, 0.000, 1.049, 0.000